Below is a relaxed structure of PPt2Cl, with properties calculated at the PBE-GGA level.

Cell lengths 3.1382, 6.7511, 7.5808 Å; angles 90.00, 90.00, 90.00 degrees
Last column: nearest neighbours and their distance in Å.
Space group Cmmm (No. 65)
Inequivalent atoms, fractional coordinates:
P1 0.0000 0.0000 0.0000  4 Pt 2.26
Pt1 0.0000 0.5000 0.2152  2 P 2.26
Cl1 0.0000 0.0000 0.5000  4 Pt 2.67

crystal system: orthorhombic
formation energy (no corrections): 0.06 eV per atom
distance to the lowest polymorph of the same formula: 316 meV/atom

***

Below is a relaxed structure of Nd6RuO12, with properties calculated at the PBE-GGA level.

Cell lengths 10.1733, 10.1733, 9.7802 Å; angles 90.00, 90.00, 120.00 degrees
Last column: nearest neighbours and their distance in Å.
Space group R-3 (No. 148, hexagonal axes)
Inequivalent atoms, fractional coordinates:
Nd1 0.0468 0.7894 0.1455  6 O 2.30-2.53
Ru1 0.0000 0.0000 0.5000  6 O 1.98
O1 0.0372 0.8112 0.9035  4 Nd 2.30-2.38
O2 0.0405 0.8593 0.3919  1 Ru 1.98

crystal system: trigonal
formation energy (no corrections): -2.84 eV per atom

***

Below is a relaxed structure of MnCrTeN2, with properties calculated at the PBE-GGA level.

Cell lengths 3.6921, 3.6921, 5.5994 Å; angles 90.00, 90.00, 90.00 degrees
Last column: nearest neighbours and their distance in Å.
Space group P4/mmm (No. 123)
Inequivalent atoms, fractional coordinates:
Mn1 0.0000 0.0000 0.0000  4 N 1.85
Cr1 0.5000 0.5000 0.5000  4 Te 2.61
Te1 0.0000 0.0000 0.5000  4 Cr 2.61, 2 Mn 2.80
N1 0.0000 0.5000 0.0000  2 Mn 1.85

crystal system: tetragonal
formation energy (no corrections): 0.72 eV per atom

***

Below is a relaxed structure of La2TbPm3Y6, with properties calculated at the PBE-GGA level.

Cell lengths 6.2826, 10.8803, 11.9069 Å; angles 90.00, 100.10, 90.00 degrees
Last column: nearest neighbours and their distance in Å.
Space group C2/m (No. 12)
Inequivalent atoms, fractional coordinates:
La1 0.0000 0.1663 0.0000  6 Y 3.62, 3 La 3.62-3.63, 3 Tb 3.63
Tb1 0.0000 0.5000 0.0000  6 Y 3.61, 6 La 3.63
Pm1 0.0000 0.0000 0.5000  6 Y 3.59, 6 Pm 3.63
Pm2 0.0000 0.3333 0.5000  6 Y 3.58-3.59, 6 Pm 3.63
Y1 0.2485 0.5000 0.7483  3 Pm 3.58-3.59, 1 Tb 3.61, 6 Y 3.62-3.63, 2 La 3.62
Y2 0.2500 0.1662 0.7486  3 Pm 3.59, 1 Tb 3.61, 2 La 3.62, 6 Y 3.62-3.63

E_form: 0.012 eV per atom
crystal system: monoclinic

***

Below is a relaxed structure of CdBi8Br10O8, with properties calculated at the PBE-GGA level.

Cell lengths 5.5793, 41.8438, 5.5805 Å; angles 90.00, 90.00, 90.00 degrees
Last column: nearest neighbours and their distance in Å.
Space group Cmmm (No. 65)
Inequivalent atoms, fractional coordinates:
Cd1 0.0000 0.0000 0.0000  6 Br 2.79-3.02
Bi1 0.0000 0.1110 0.5000  4 O 2.35
Bi2 0.0000 0.1718 0.0000  4 O 2.34
Bi3 0.0000 0.3287 0.5000  4 O 2.35
Bi4 0.0000 0.3890 0.0000  4 O 2.34
Br1 0.0000 0.0000 0.5000  2 Cd 2.79
Br2 0.0000 0.0722 0.0000  1 Cd 3.02, 4 Bi 3.23
Br3 0.0000 0.2099 0.5000  4 Bi 3.21-3.22, 4 O 3.48
Br4 0.0000 0.2901 0.0000  4 Bi 3.21-3.22, 4 O 3.48
Br5 0.0000 0.4260 0.5000  4 Bi 3.19, 4 O 3.44
Br6 0.0000 0.5000 0.0000  2 Cd 2.79
O1 0.2488 0.1413 0.2488  4 Bi 2.34-2.35

crystal system: orthorhombic
formation energy (no corrections): -1.07 eV per atom

***

Below is a relaxed structure of La8SiAu3I4, with properties calculated at the PBE-GGA level.

Cell lengths 8.9187, 8.9187, 23.2619 Å; angles 90.00, 90.00, 120.00 degrees
Last column: nearest neighbours and their distance in Å.
Space group R-3m (No. 166, hexagonal axes)
Inequivalent atoms, fractional coordinates:
La1 0.0000 0.0000 0.2354  3 Au 3.03
La2 0.0064 0.5032 0.2373  1 Si 3.01, 2 Au 3.08
Si1 0.0000 0.0000 0.5000  6 La 3.01
Au1 0.0000 0.5000 0.5000  6 La 3.03-3.08
I1 0.0000 0.0000 0.0000  6 La 3.45
I2 0.0000 0.5000 0.0000  6 La 3.39-3.44

crystal system: trigonal
formation energy (no corrections): -0.92 eV per atom

***

Below is a relaxed structure of Pm8Sm3Ho2, with properties calculated at the PBE-GGA level.

Cell lengths 20.3738, 7.7353, 5.7668 Å; angles 90.00, 90.08, 90.00 degrees
Last column: nearest neighbours and their distance in Å.
Space group C2/m (No. 12)
Inequivalent atoms, fractional coordinates:
Pm1 0.1076 0.2073 0.0003  1 Sm 3.15, 1 Pm 3.21, 1 Ho 3.48
Pm2 0.1337 0.5000 0.4991  2 Sm 3.52, 2 Ho 3.61-3.62, 5 Pm 3.70-3.92
Pm3 0.1738 0.0000 0.5016  2 Ho 3.37, 4 Pm 3.56-3.57
Sm1 0.0000 0.2117 0.5000  3 Sm 3.28-3.65, 6 Pm 3.52-3.62
Sm2 0.0000 0.5000 0.0000  4 Pm 3.15
Ho1 0.2408 0.5000 0.9980  8 Pm 3.37-3.62

E_form: 0.215 eV per atom
crystal system: monoclinic
distance to the lowest polymorph of the same formula: 111 meV/atom

***

Below is a relaxed structure of TcAsCSe2, with properties calculated at the PBE-GGA level.

Cell lengths 4.2801, 4.2801, 4.2052 Å; angles 90.00, 90.00, 90.00 degrees
Last column: nearest neighbours and their distance in Å.
Space group P4/mmm (No. 123)
Inequivalent atoms, fractional coordinates:
Tc1 0.0000 0.0000 0.0000  8 Se 3.00, 4 As 3.03
As1 0.5000 0.5000 0.0000  2 C 2.10
C1 0.5000 0.5000 0.5000  2 As 2.10, 4 Se 2.14
Se1 0.0000 0.5000 0.5000  2 C 2.14

crystal system: tetragonal
formation energy (no corrections): 1.29 eV per atom
distance to the lowest polymorph of the same formula: 0 meV/atom

***

Here are the calculated magnetization numbers, same order: 0.0000; 0.1047; 0.7854; 0.0000; 0.0000; 0.0000; 0.0000; 0.0000 (μB/atom).